Ac2CuNiO6 | PBE+U | relaxed

Its total DFT energy (no corrections) is -6.500 eV per atom.

The space group is C2/m (No. 12) and the conventional cell measures 9.6507, 5.5795 and 5.5796 Å, with angles of 90.00, 125.33 and 90.00 degrees. The asymmetric unit holds Ac at (0.2500, 0.0000, 0.2500), Cu at (0.0000, 0.0000, 0.5000), Ni at (0.0000, 0.5000, 0.0000), O at (0.0006, 0.2507, 0.2499) and O at (0.2461, 0.0000, 0.7473).